Here is crystalline Rb2Mg12Hg7 at its relaxed geometry from the Alexandria database. Energies are from PBE-GGA.

a = 4.6876 Å, b = 11.4939 Å, c = 11.4939 Å
α = 120.00°, β = 90.00°, γ = 90.00°
Element x y z (fractional)
Rb1 0.5000 0.0000 0.0000
Rb2 0.0000 0.6667 0.3333
Mg1 0.5000 0.9199 0.6195
Mg2 0.5000 0.6996 0.0801
Mg3 0.5000 0.3805 0.3004
Mg4 0.5000 0.2419 0.7760
Mg5 0.5000 0.5340 0.7581
Mg6 0.5000 0.2240 0.4660
Mg7 0.0000 0.0513 0.5267
Mg8 0.0000 0.4754 0.9487
Mg9 0.0000 0.4733 0.5246
Mg10 0.0000 0.7864 0.7156
Mg11 0.0000 0.9293 0.2136
Mg12 0.0000 0.2844 0.0707
Hg1 0.0000 0.3333 0.6667
Hg2 0.0000 0.0776 0.7924
Hg3 0.0000 0.7148 0.9224
Hg4 0.0000 0.2076 0.2852
Hg5 0.5000 0.6407 0.5667
Hg6 0.5000 0.9259 0.3593
Hg7 0.5000 0.4333 0.0741

Summary:
SG: No. 174
Calculated total energy in eV/atom: -1.269

---

Here is crystalline RbMg2Hg2 at its relaxed geometry from the Alexandria database. Energies are from PBE-GGA.

a = 9.0282 Å, b = 9.0282 Å, c = 3.4600 Å
α = 90.00°, β = 90.00°, γ = 90.00°
Element x y z (fractional)
Mg1 0.1324 0.6324 0.5000
Mg2 0.6324 0.8676 0.5000
Mg3 0.8676 0.3676 0.5000
Mg4 0.3676 0.1324 0.5000
Hg1 0.3474 0.8474 0.0000
Hg2 0.8474 0.6526 0.0000
Hg3 0.6526 0.1526 0.0000
Hg4 0.1526 0.3474 0.0000
Rb1 0.0000 0.0000 0.0000
Rb2 0.5000 0.5000 0.0000

Summary:
SG: No. 127
Calculated total energy in eV/atom: -1.040

---

Here is crystalline RbMgHg2 at its relaxed geometry from the Alexandria database. Energies are from PBE-GGA.

a = 4.7303 Å, b = 6.2499 Å, c = 8.8690 Å
α = 106.57°, β = 90.00°, γ = 90.00°
Element x y z (fractional)
Rb1 0.2500 0.2762 0.0627
Rb2 0.7500 0.7238 0.9373
Mg1 0.7500 0.6776 0.4270
Mg2 0.2500 0.3224 0.5730
Hg1 0.2500 0.8550 0.2924
Hg2 0.7500 0.1450 0.7076
Hg3 0.7500 0.1861 0.3551
Hg4 0.2500 0.8139 0.6449

Summary:
SG: No. 11
Calculated total energy in eV/atom: -0.964

---

no.,size of the total moment (μB/f.u.),density of states at the Fermi level (states/eV/f.u.)
1,0.00,9.84
2,0.00,1.95
3,0.00,2.14